Material: PmTmCdCu
Method: DFT, PBE
State: optimized geometry

Lattice parameters (Å, degrees): 3.508 3.508 7.781 90.00 90.00 90.00
Atoms (fractional coordinates):
Pm: 0.000 0.000 0.000
Tm: 0.000 0.000 0.557
Cd: 0.500 0.500 0.290
Cu: 0.500 0.500 0.754

Values from the calculation:
As for the formation energy: -260 meV/atom. The value obtained for the offset from the most stable computed form is 0 meV per atom.


Material: Mg5In
Method: DFT, PBE
State: optimized geometry

Lattice parameters (Å, degrees): 3.231 3.231 13.347 90.00 90.00 90.00
Atoms (fractional coordinates):
Mg: 0.000 0.000 0.000
Mg: 0.000 0.000 0.334
Mg: 0.000 0.000 0.666
Mg: 0.500 0.500 0.166
Mg: 0.500 0.500 0.834
In: 0.500 0.500 0.500

Values from the calculation:
As for the formation energy: -31 meV/atom.


Material: AcLuAlHg
Method: DFT, PBE
State: optimized geometry

Lattice parameters (Å, degrees): 5.427 5.427 5.427 60.00 60.00 60.00
Atoms (fractional coordinates):
Ac: 0.000 0.000 0.000
Lu: 0.500 0.500 0.500
Al: 0.750 0.750 0.750
Hg: 0.250 0.250 0.250

Values from the calculation:
As for the formation energy: -301 meV/atom.